Entry 1:
Entry from Alexandria: a relaxed structure of UPa2Ni9 (PBE).

DFT formation energy: -339 meV/atom
Magnetic moment: 1.21 Bohr magnetons per cell

Lattice parameters (Å, degrees): 4.888 4.888 8.698 73.68 73.68 60.00
Last column: magnetic moment on the atom in μB.
Atoms (fractional coordinates):
U  0.000  0.000  0.000  -1.59
Pa  0.861  0.861  0.416  0.00
Pa  0.139  0.139  0.584  0.00
Ni  0.667  0.667  0.998  0.17
Ni  0.333  0.333  0.002  0.17
Ni  0.500  0.500  0.500  -0.01
Ni  0.418  0.418  0.247  0.04
Ni  0.917  0.418  0.247  0.04
Ni  0.418  0.917  0.247  0.04
Ni  0.582  0.582  0.753  0.04
Ni  0.582  0.083  0.753  0.04
Ni  0.083  0.582  0.753  0.04

---

Entry 2:
Entry from Alexandria: a relaxed structure of U2Pa2Ni15 (PBE).

DFT formation energy: -281 meV/atom
Magnetic moment: 2.41 Bohr magnetons per cell

Lattice parameters (Å, degrees): 6.448 6.448 6.448 81.07 81.07 81.07
Last column: magnetic moment on the atom in μB.
Atoms (fractional coordinates):
U  0.098  0.098  0.098  1.03
U  0.902  0.902  0.902  1.03
Pa  0.357  0.357  0.357  0.04
Pa  0.643  0.643  0.643  0.04
Ni  0.500  0.000  0.000  -0.01
Ni  0.000  0.000  0.500  -0.01
Ni  0.000  0.500  0.000  -0.01
Ni  0.000  0.677  0.323  0.05
Ni  0.677  0.323  0.000  0.05
Ni  0.323  0.000  0.677  0.05
Ni  0.323  0.677  0.000  0.05
Ni  0.677  0.000  0.323  0.05
Ni  0.000  0.323  0.677  0.05
Ni  0.167  0.656  0.656  0.00
Ni  0.656  0.656  0.167  0.00
Ni  0.656  0.167  0.656  0.00
Ni  0.833  0.344  0.344  0.00
Ni  0.344  0.344  0.833  0.00
Ni  0.344  0.833  0.344  0.00

---

Entry 3:
Entry from Alexandria: a relaxed structure of UPaNi4 (PBE).

DFT formation energy: -293 meV/atom
Magnetic moment: 2.25 Bohr magnetons per cell

Lattice parameters (Å, degrees): 5.007 5.007 5.007 60.00 60.00 60.00
Last column: magnetic moment on the atom in μB.
Atoms (fractional coordinates):
Ni  0.625  0.625  0.126  0.03
Ni  0.625  0.126  0.625  0.03
Ni  0.625  0.625  0.625  0.03
Ni  0.126  0.625  0.625  0.03
Pa  0.000  0.000  0.000  0.44
U  0.250  0.250  0.250  1.57

---

Entry 4:
Entry from Alexandria: a relaxed structure of Pa2VNi9 (PBE).

DFT formation energy: -211 meV/atom
Energy relative to the lowest polymorph listed for this composition: 15 meV per atom
Magnetic moment: 2.20 Bohr magnetons per cell

Lattice parameters (Å, degrees): 4.838 4.838 8.583 73.63 73.63 60.00
Last column: magnetic moment on the atom in μB.
Atoms (fractional coordinates):
Pa  0.867  0.867  0.399  0.01
Pa  0.133  0.133  0.601  0.01
V  0.000  0.000  0.000  1.92
Ni  0.667  0.667  0.999  -0.17
Ni  0.333  0.333  0.001  -0.17
Ni  0.500  0.500  0.500  0.04
Ni  0.417  0.417  0.246  0.05
Ni  0.919  0.417  0.246  0.05
Ni  0.417  0.919  0.246  0.05
Ni  0.583  0.583  0.754  0.05
Ni  0.583  0.081  0.754  0.05
Ni  0.081  0.583  0.754  0.05

---

Entry 5:
Entry from Alexandria: a relaxed structure of PaVNi2 (PBE).

DFT formation energy: -93 meV/atom
Energy relative to the lowest polymorph listed for this composition: 22 meV per atom
Magnetic moment: 0.68 Bohr magnetons per cell

Lattice parameters (Å, degrees): 3.031 3.031 6.606 90.00 90.00 90.00
Last column: magnetic moment on the atom in μB.
Atoms (fractional coordinates):
Ni  0.000  0.000  0.806  0.06
Ni  0.000  0.000  0.194  0.06
Pa  0.500  0.500  0.500  0.04
V  0.500  0.500  0.000  0.46

---

Entry 6:
Entry from Alexandria: a relaxed structure of PaV2Ni (PBE).

DFT formation energy: 173 meV/atom
Energy relative to the lowest polymorph listed for this composition: 22 meV per atom
Magnetic moment: 0.00 Bohr magnetons per cell

Lattice parameters (Å, degrees): 3.252 4.348 4.348 90.00 90.00 90.00
Atoms (fractional coordinates):
Ni  0.500  0.500  0.500
Pa  0.500  0.000  0.000
V  0.000  0.000  0.500
V  0.000  0.500  0.000

---

Entry 7:
Entry from Alexandria: a relaxed structure of PaVNi2 (PBE).

DFT formation energy: 193 meV/atom
Energy relative to the lowest polymorph listed for this composition: 308 meV per atom
Magnetic moment: 0.00 Bohr magnetons per cell

Lattice parameters (Å, degrees): 2.954 2.954 8.521 80.02 80.02 60.00
Atoms (fractional coordinates):
Ni  0.735  0.735  0.795
Ni  0.265  0.265  0.205
Pa  0.500  0.500  0.500
V  0.000  0.000  0.000

---

Entry 8:
Entry from Alexandria: a relaxed structure of PaV2Ni (PBE).

DFT formation energy: 151 meV/atom
Energy relative to the lowest polymorph listed for this composition: 0 meV per atom
Magnetic moment: 1.83 Bohr magnetons per cell

Lattice parameters (Å, degrees): 4.397 4.397 4.397 60.00 60.00 60.00
Last column: magnetic moment on the atom in μB.
Atoms (fractional coordinates):
Ni  0.500  0.500  0.500  0.44
Pa  0.000  0.000  0.000  0.48
V  0.750  0.750  0.750  0.43
V  0.250  0.250  0.250  0.43